1.
DFT (PBE) results for a relaxed TbPmNiPb crystal.

Computed properties:
Crystal system   cubic

POSCAR file:
```
TbPmNiPb
1.0
-3.928 3.231 -1.236
-4.420 -0.062 2.802
-1.166 4.023 3.138
Pb Ni Tb Pm
1 1 1 1
Direct
0.750 0.750 0.750
0.250 0.250 0.250
0.000 0.000 0.000
0.500 0.500 0.500
```

2.
DFT (PBE) results for a relaxed PmYNiPb crystal.

Computed properties:
Crystal system   cubic

POSCAR file:
```
PmYNiPb
1.0
5.229 0.000 0.000
2.615 4.529 0.000
2.615 1.510 4.270
Pb Y Ni Pm
1 1 1 1
Direct
0.250 0.250 0.250
0.000 0.000 0.000
0.750 0.750 0.750
0.500 0.500 0.500
```

3.
DFT (PBE) results for a relaxed PmZnNiPb crystal.

Computed properties:
Crystal system   cubic

POSCAR file:
```
PmZnNiPb
1.0
-4.457 -1.764 0.933
-1.271 -1.126 4.579
-3.267 2.748 2.373
Pb Ni Zn Pm
1 1 1 1
Direct
0.500 0.500 0.500
0.250 0.250 0.250
0.750 0.750 0.750
0.000 0.000 0.000
```

4.
DFT (PBE) results for a relaxed Pr5NiPb3 crystal.

Computed properties:
Crystal system   hexagonal

POSCAR file:
```
Pr5NiPb3
1.0
9.585 0.000 0.000
-4.792 8.301 0.000
0.000 0.000 7.004
Pr Ni Pb
10 2 6
Direct
0.000 0.759 0.750
0.241 0.000 0.250
0.333 0.667 0.500
0.667 0.333 0.500
0.759 0.759 0.250
0.000 0.241 0.250
0.241 0.241 0.750
0.759 0.000 0.750
0.333 0.667 0.000
0.667 0.333 0.000
0.000 0.000 0.000
0.000 0.000 0.500
0.601 0.601 0.750
0.000 0.601 0.250
0.000 0.399 0.750
0.601 0.000 0.250
0.399 0.000 0.750
0.399 0.399 0.250
```

5.
DFT (PBE) results for a relaxed PrNiPb crystal.

Computed properties:
Crystal system   monoclinic

POSCAR file:
```
PrNiPb
1.0
-4.161 1.354 1.649
0.554 -4.187 -1.793
2.997 -0.490 7.967
Pr Ni Pb
2 2 2
Direct
0.739 0.478 0.229
0.261 0.522 0.771
0.132 0.265 0.410
0.868 0.735 0.590
0.500 0.000 0.500
0.000 0.000 0.000
```

6.
DFT (PBE) results for a relaxed Pr12Ni5Pb crystal.

Computed properties:
Crystal system   orthorhombic

POSCAR file:
```
Pr12Ni5Pb
1.0
8.113 -0.001 -3.225
-4.171 7.252 -2.495
-0.126 0.001 8.729
Pr Ni Pb
12 5 1
Direct
0.516 0.818 0.698
0.484 0.182 0.302
0.879 0.182 0.698
0.121 0.818 0.302
0.691 0.678 0.369
0.309 0.322 0.631
0.309 0.678 0.987
0.691 0.322 0.013
0.811 0.609 0.798
0.189 0.391 0.202
0.189 0.987 0.798
0.811 0.013 0.202
0.630 0.630 0.000
0.370 0.370 0.000
0.500 0.122 0.622
0.500 0.878 0.378
0.000 0.000 0.000
0.000 0.500 0.500
```

Short version: ΔH_f (0 K) = -27.2 -28.4 -20.5 -48.5 -27.9 -23.7 kJ per mole of atoms, in the order given.
Short version: mass density = 9.3 8.2 9.6 8.3 9.0 7.1 g/cm3, in the order given.